A) The following is a DFT calculation (PBE) of crystalline CaTi2Rh at its relaxed geometry.

Results
Calculated density: 4.7 g/cm3
Magnetic moment: 0.000 μB/f.u.

Cell and atoms, written as CIF:
```
data_CaTi2Rh
_space_group_name_H-M_alt 'P 1'
_space_group_IT_number 1
_space_group_name_Hall 'P 1'
_cell_length_a 7.6170
_cell_length_b 7.6170
_cell_length_c 6.1200
_cell_angle_alpha 51.52
_cell_angle_beta 51.52
_cell_angle_gamma 90.00
loop_
_atom_site_label
_atom_site_type_symbol
_atom_site_fract_x
_atom_site_fract_y
_atom_site_fract_z
Ca1 Ca 0.5000 0.5000 0.0000
Ca2 Ca 0.2500 0.7500 0.5000
Rh1 Rh 0.0000 0.0000 0.0000
Rh2 Rh 0.7500 0.2500 0.5000
Ti1 Ti 0.6917 0.1250 0.2500
Ti2 Ti 0.0583 0.6250 0.2500
Ti3 Ti 0.3750 0.3083 0.7500
Ti4 Ti 0.8750 0.9417 0.7500
```


B) The following is a DFT calculation (PBE) of crystalline CaTi2Rh at its relaxed geometry.

Results
Calculated density: 5.6 g/cm3
Magnetic moment: 0.323 μB/f.u.

Cell and atoms, written as CIF:
```
data_CaTi2Rh
_space_group_name_H-M_alt 'P 1'
_space_group_IT_number 1
_space_group_name_Hall 'P 1'
_cell_length_a 4.6526
_cell_length_b 4.6526
_cell_length_c 4.6526
_cell_angle_alpha 60.00
_cell_angle_beta 60.00
_cell_angle_gamma 60.00
loop_
_atom_site_label
_atom_site_type_symbol
_atom_site_fract_x
_atom_site_fract_y
_atom_site_fract_z
Ca1 Ca 0.0000 0.0000 0.0000
Rh1 Rh 0.5000 0.5000 0.5000
Ti1 Ti 0.2500 0.2500 0.2500
Ti2 Ti 0.7500 0.7500 0.7500
```


Stability summary: most stable A), least stable B).


A) The following is a DFT calculation (PBE) of crystalline Ca3TiRh at its relaxed geometry.

Results
Calculated density: 2.8 g/cm3
Magnetic moment: 0.132 μB/f.u.

Cell and atoms, written as CIF:
```
data_Ca3TiRh
_space_group_name_H-M_alt 'P 1'
_space_group_IT_number 1
_space_group_name_Hall 'P 1'
_cell_length_a 5.4167
_cell_length_b 5.4167
_cell_length_c 5.4167
_cell_angle_alpha 90.00
_cell_angle_beta 90.00
_cell_angle_gamma 90.00
loop_
_atom_site_label
_atom_site_type_symbol
_atom_site_fract_x
_atom_site_fract_y
_atom_site_fract_z
Ca1 Ca 0.0000 0.5000 0.0000
Ca2 Ca 0.0000 0.0000 0.5000
Ca3 Ca 0.5000 0.0000 0.0000
Rh1 Rh 0.0000 0.0000 0.0000
Ti1 Ti 0.5000 0.5000 0.5000
```


B) The following is a DFT calculation (PBE) of crystalline Ca3TiRh at its relaxed geometry.

Results
Calculated density: 2.7 g/cm3
Magnetic moment: 4.885 μB/f.u.

Cell and atoms, written as CIF:
```
data_Ca3TiRh
_space_group_name_H-M_alt 'P 1'
_space_group_IT_number 1
_space_group_name_Hall 'P 1'
_cell_length_a 5.5019
_cell_length_b 5.5019
_cell_length_c 5.5019
_cell_angle_alpha 90.00
_cell_angle_beta 90.00
_cell_angle_gamma 90.00
loop_
_atom_site_label
_atom_site_type_symbol
_atom_site_fract_x
_atom_site_fract_y
_atom_site_fract_z
Ca1 Ca 0.0000 0.5000 0.0000
Ca2 Ca 0.0000 0.0000 0.5000
Ca3 Ca 0.5000 0.0000 0.0000
Rh1 Rh 0.5000 0.5000 0.5000
Ti1 Ti 0.0000 0.0000 0.0000
```


Stability summary: most stable A), least stable B).


A) The following is a DFT calculation (PBE) of crystalline CaTl2Rh2 at its relaxed geometry.

Results
Calculated density: 10.6 g/cm3
Magnetic moment: 0.000 μB/f.u.

Cell and atoms, written as CIF:
```
data_CaTl2Rh2
_space_group_name_H-M_alt 'P 1'
_space_group_IT_number 1
_space_group_name_Hall 'P 1'
_cell_length_a 7.7477
_cell_length_b 7.7477
_cell_length_c 3.4129
_cell_angle_alpha 90.00
_cell_angle_beta 90.00
_cell_angle_gamma 90.00
loop_
_atom_site_label
_atom_site_type_symbol
_atom_site_fract_x
_atom_site_fract_y
_atom_site_fract_z
Tl1 Tl 0.1580 0.6580 0.5000
Tl2 Tl 0.6580 0.8420 0.5000
Tl3 Tl 0.8420 0.3420 0.5000
Tl4 Tl 0.3420 0.1580 0.5000
Rh1 Rh 0.3622 0.8622 0.0000
Rh2 Rh 0.8622 0.6378 0.0000
Rh3 Rh 0.6378 0.1378 0.0000
Rh4 Rh 0.1378 0.3622 0.0000
Ca1 Ca 0.0000 0.0000 0.0000
Ca2 Ca 0.5000 0.5000 0.0000
```


B) The following is a DFT calculation (PBE) of crystalline CaTl2Rh2 at its relaxed geometry.

Results
Calculated density: 10.6 g/cm3
Magnetic moment: 0.000 μB/f.u.

Cell and atoms, written as CIF:
```
data_CaTl2Rh2
_space_group_name_H-M_alt 'P 1'
_space_group_IT_number 1
_space_group_name_Hall 'P 1'
_cell_length_a 8.0363
_cell_length_b 8.0363
_cell_length_c 3.1838
_cell_angle_alpha 90.00
_cell_angle_beta 90.00
_cell_angle_gamma 90.00
loop_
_atom_site_label
_atom_site_type_symbol
_atom_site_fract_x
_atom_site_fract_y
_atom_site_fract_z
Tl1 Tl 0.3653 0.8653 0.0000
Tl2 Tl 0.8653 0.6347 0.0000
Tl3 Tl 0.6347 0.1347 0.0000
Tl4 Tl 0.1347 0.3653 0.0000
Rh1 Rh 0.1649 0.6649 0.5000
Rh2 Rh 0.6649 0.8351 0.5000
Rh3 Rh 0.8351 0.3351 0.5000
Rh4 Rh 0.3351 0.1649 0.5000
Ca1 Ca 0.0000 0.0000 0.0000
Ca2 Ca 0.5000 0.5000 0.0000
```


Stability summary: most stable A), least stable B).


A) The following is a DFT calculation (PBE) of crystalline Ca3TlRh at its relaxed geometry.

Results
Calculated density: 4.3 g/cm3
Magnetic moment: 0.000 μB/f.u.

Cell and atoms, written as CIF:
```
data_Ca3TlRh
_space_group_name_H-M_alt 'P 1'
_space_group_IT_number 1
_space_group_name_Hall 'P 1'
_cell_length_a 5.4697
_cell_length_b 5.4697
_cell_length_c 5.4697
_cell_angle_alpha 90.00
_cell_angle_beta 90.00
_cell_angle_gamma 90.00
loop_
_atom_site_label
_atom_site_type_symbol
_atom_site_fract_x
_atom_site_fract_y
_atom_site_fract_z
Tl1 Tl 0.5000 0.5000 0.5000
Rh1 Rh 0.0000 0.0000 0.0000
Ca1 Ca 0.0000 0.5000 0.0000
Ca2 Ca 0.0000 0.0000 0.5000
Ca3 Ca 0.5000 0.0000 0.0000
```


B) The following is a DFT calculation (PBE) of crystalline Ca3TlRh at its relaxed geometry.

Results
Calculated density: 5.1 g/cm3
Magnetic moment: 0.000 μB/f.u.

Cell and atoms, written as CIF:
```
data_Ca3TlRh
_space_group_name_H-M_alt 'P 1'
_space_group_IT_number 1
_space_group_name_Hall 'P 1'
_cell_length_a 5.7255
_cell_length_b 6.3684
_cell_length_c 9.2258
_cell_angle_alpha 105.92
_cell_angle_beta 99.59
_cell_angle_gamma 114.06
loop_
_atom_site_label
_atom_site_type_symbol
_atom_site_fract_x
_atom_site_fract_y
_atom_site_fract_z
Ca1 Ca 0.3000 0.7998 0.1004
Ca2 Ca 0.2632 0.3769 0.7081
Ca3 Ca 0.9344 0.7893 0.7436
Ca4 Ca 0.0656 0.2107 0.2564
Ca5 Ca 0.7000 0.2002 0.8996
Ca6 Ca 0.7368 0.6231 0.2919
Tl1 Tl 0.6379 0.2288 0.4683
Tl2 Tl 0.3621 0.7712 0.5317
Rh1 Rh 0.7305 0.7240 0.0013
Rh2 Rh 0.2695 0.2760 0.9987
```


Stability summary: most stable B), least stable A).


A) The following is a DFT calculation (PBE) of crystalline CaV2Rh2 at its relaxed geometry.

Results
Calculated density: 7.1 g/cm3
Magnetic moment: 0.001 μB/f.u.

Cell and atoms, written as CIF:
```
data_CaV2Rh2
_space_group_name_H-M_alt 'P 1'
_space_group_IT_number 1
_space_group_name_Hall 'P 1'
_cell_length_a 7.6253
_cell_length_b 7.6253
_cell_length_c 2.7912
_cell_angle_alpha 90.00
_cell_angle_beta 90.00
_cell_angle_gamma 90.00
loop_
_atom_site_label
_atom_site_type_symbol
_atom_site_fract_x
_atom_site_fract_y
_atom_site_fract_z
Ca1 Ca 0.0000 0.0000 0.0000
Ca2 Ca 0.5000 0.5000 0.0000
Rh1 Rh 0.1805 0.6805 0.5000
Rh2 Rh 0.6805 0.8195 0.5000
Rh3 Rh 0.8195 0.3195 0.5000
Rh4 Rh 0.3195 0.1805 0.5000
V1 V 0.3912 0.8912 0.0000
V2 V 0.8912 0.6088 0.0000
V3 V 0.6088 0.1088 0.0000
V4 V 0.1088 0.3912 0.0000
```


B) The following is a DFT calculation (PBE) of crystalline CaV2Rh2 at its relaxed geometry.

Results
Calculated density: 6.3 g/cm3
Magnetic moment: 0.000 μB/f.u.

Cell and atoms, written as CIF:
```
data_CaV2Rh2
_space_group_name_H-M_alt 'P 1'
_space_group_IT_number 1
_space_group_name_Hall 'P 1'
_cell_length_a 4.2301
_cell_length_b 4.2301
_cell_length_c 5.9245
_cell_angle_alpha 69.08
_cell_angle_beta 69.08
_cell_angle_gamma 90.00
loop_
_atom_site_label
_atom_site_type_symbol
_atom_site_fract_x
_atom_site_fract_y
_atom_site_fract_z
Ca1 Ca 0.0000 0.0000 0.0000
Rh1 Rh 0.3688 0.3688 0.2624
Rh2 Rh 0.6312 0.6312 0.7376
V1 V 0.7500 0.2500 0.5000
V2 V 0.2500 0.7500 0.5000
```


Stability summary: most stable B), least stable A).


A) The following is a DFT calculation (PBE) of crystalline CaV2Rh at its relaxed geometry.

Results
Calculated density: 4.7 g/cm3
Magnetic moment: 0.001 μB/f.u.

Cell and atoms, written as CIF:
```
data_CaV2Rh
_space_group_name_H-M_alt 'P 1'
_space_group_IT_number 1
_space_group_name_Hall 'P 1'
_cell_length_a 4.3804
_cell_length_b 4.3804
_cell_length_c 9.5189
_cell_angle_alpha 76.70
_cell_angle_beta 76.70
_cell_angle_gamma 90.00
loop_
_atom_site_label
_atom_site_type_symbol
_atom_site_fract_x
_atom_site_fract_y
_atom_site_fract_z
Ca1 Ca 0.5000 0.5000 0.0000
Ca2 Ca 0.2500 0.7500 0.5000
Rh1 Rh 0.0000 0.0000 0.0000
Rh2 Rh 0.7500 0.2500 0.5000
V1 V 0.8750 0.1250 0.2500
V2 V 0.8750 0.6250 0.2500
V3 V 0.3750 0.1250 0.7500
V4 V 0.8750 0.1250 0.7500
```


B) The following is a DFT calculation (PBE) of crystalline CaV2Rh at its relaxed geometry.

Results
Calculated density: 6.3 g/cm3
Magnetic moment: 0.765 μB/f.u.

Cell and atoms, written as CIF:
```
data_CaV2Rh
_space_group_name_H-M_alt 'P 1'
_space_group_IT_number 1
_space_group_name_Hall 'P 1'
_cell_length_a 4.4937
_cell_length_b 4.4937
_cell_length_c 4.4937
_cell_angle_alpha 60.00
_cell_angle_beta 60.00
_cell_angle_gamma 60.00
loop_
_atom_site_label
_atom_site_type_symbol
_atom_site_fract_x
_atom_site_fract_y
_atom_site_fract_z
Ca1 Ca 0.0000 0.0000 0.0000
Rh1 Rh 0.5000 0.5000 0.5000
V1 V 0.2500 0.2500 0.2500
V2 V 0.7500 0.7500 0.7500
```


Stability summary: most stable B), least stable A).